Compound: Li2AcReO6
Source: Alexandria
Functional: PBE
Structure: optimized geometry

Geometry as extended XYZ:
```
10
Lattice="5.4549 -0.0005 -0.0015 -2.7276 4.7239 0.0000 -2.7262 -1.5735 4.8655" Properties=species:S:1:pos:R:3 pbc="T T T"
O 1.9462 3.3647 0.7699
O -1.7045 -0.4454 3.4172
O -0.7417 1.4237 0.7703
O 0.5110 1.7668 3.4169
O 1.6481 -0.0016 0.7699
O -1.4079 3.4656 3.4168
Re 0.0423 3.1706 4.7158
Li 0.0409 3.1694 1.7974
Li 0.0422 0.0207 4.0761
Ac -2.6861 1.5955 2.6418
```

Properties
* Fermi-level density of states: 0.0 states/eV/cell
* formation energy (no corrections): -2.2019 eV per atom

=====

Compound: ZnCoCuAu
Source: Alexandria
Functional: PBE
Structure: optimized geometry

Geometry as extended XYZ:
```
4
Lattice="4.2645 0.0000 0.0000 2.1322 3.6931 0.0000 2.1322 1.2310 3.4819" Properties=species:S:1:pos:R:3 pbc="T T T"
Co 0.0000 0.0000 0.0000
Cu 6.3967 3.6931 2.6114
Au 4.2645 2.4621 1.7410
Zn 2.1322 1.2310 0.8705
```

Properties
* Fermi-level density of states: 5.1 states/eV/cell
* formation energy from the elements: 0.29 eV/f.u.

=====

Compound: CaMg4Ir
Source: Alexandria
Functional: PBE
Structure: optimized geometry

Geometry as extended XYZ:
```
12
Lattice="4.2849 0.0000 0.0000 0.0000 7.5378 0.0000 0.0000 0.0000 8.6920" Properties=species:S:1:pos:R:3 pbc="T T T"
Mg 0.0000 0.0000 4.3460
Mg 2.1425 2.2876 8.0580
Mg 2.1425 0.2694 2.1730
Mg 0.0000 0.0000 0.0000
Mg 2.1425 5.2502 0.6340
Mg 2.1425 5.2502 3.7120
Mg 2.1425 7.2684 6.5190
Mg 2.1425 2.2876 4.9800
Ca 0.0000 4.4524 6.5190
Ca 0.0000 3.0854 2.1730
Ir 0.0000 1.4890 6.5190
Ir 0.0000 6.0487 2.1730
```

Properties
* Fermi-level density of states: 6.6 states/eV/cell
* excess energy over the best structure of this formula in the dataset: 0 meV/atom
* formation energy from the elements: -1.56 eV/f.u.

=====

Compound: Ti2CdBi2
Source: Alexandria
Functional: PBE
Structure: optimized geometry

Geometry as extended XYZ:
```
10
Lattice="-6.8556 4.2727 0.6198 -3.7461 -5.3087 -4.8398 -0.9511 -1.9419 2.8661" Properties=species:S:1:pos:R:3 pbc="T T T"
Bi -8.2332 0.0916 -2.6701
Bi -5.4846 -3.0072 -3.8575
Bi -5.1172 1.9713 -0.3625
Bi -2.3686 -1.1276 -1.5499
Ti -3.5100 -0.0466 1.0524
Ti -7.8632 0.7785 0.1668
Ti -8.0428 -2.9313 -2.4062
Ti -3.6897 -3.7563 -1.5206
Cd -5.3009 -0.5180 -2.1100
Cd 0.0000 0.0000 0.0000
```

Properties
* Fermi-level density of states: 5.1 states/eV/cell
* excess energy over the best structure of this formula in the dataset: 148 meV/atom
* formation energy from the elements: 0.56 eV/f.u.

=====

Compound: CaPtAu4
Source: Alexandria
Functional: PBE
Structure: optimized geometry

Geometry as extended XYZ:
```
6
Lattice="0.4815 -5.0399 2.1782 -2.6876 -4.2476 -2.2610 2.7965 -3.9110 -2.6946" Properties=species:S:1:pos:R:3 pbc="T T T"
Au -1.1261 -7.0745 -2.1740
Au 1.6231 -6.9057 -2.3914
Au 0.4626 -7.4717 0.0513
Au 0.2212 -4.9451 -1.0406
Pt 0.0000 0.0000 0.0000
Ca 0.4428 -9.8989 -2.0830
```

Properties
* Fermi-level density of states: 2.0 states/eV/cell
* formation energy from the elements: -1.99 eV/f.u.

=====

Compound: MgNb4CuN8
Source: Alexandria
Functional: PBE
Structure: optimized geometry

Geometry as extended XYZ:
```
14
Lattice="6.2426 0.0000 0.0000 3.1213 5.4063 0.0000 3.1213 1.8021 5.0576" Properties=species:S:1:pos:R:3 pbc="T T T"
N 6.2426 1.7373 1.3084
N 4.6259 4.5376 1.3084
N 6.2426 5.4807 3.6376
N 9.3640 5.4063 3.7020
N 7.8594 4.5376 1.3084
N 3.1213 1.8021 1.3693
N 4.6175 2.6659 3.6376
N 7.8678 2.6659 3.6376
Nb 3.1213 3.5366 2.5986
Nb 1.6192 0.9348 2.5986
Nb 4.6235 0.9348 2.5986
Nb 6.2426 3.6042 0.6968
Cu 6.2426 3.6042 4.4316
Mg 9.3640 5.4063 0.0412
```

Properties
* Fermi-level density of states: 9.2 states/eV/cell
* formation energy (no corrections): -0.5262 eV per atom

=====

Compound: NiAg3W
Source: Alexandria
Functional: PBE
Structure: optimized geometry

Geometry as extended XYZ:
```
5
Lattice="-0.6289 2.3955 -4.4034 3.6817 -2.7912 -2.0442 -3.4020 -3.4634 -1.3982" Properties=species:S:1:pos:R:3 pbc="T T T"
W 0.0000 0.0000 0.0000
Ag -1.7010 -1.7317 -0.6991
Ag 1.8408 -1.3956 -1.0221
Ag -0.3145 1.1977 -2.2017
Ni -0.1746 -1.9296 -3.9229
```

Properties
* Fermi-level density of states: 7.7 states/eV/cell
* excess energy over the best structure of this formula in the dataset: 399 meV/atom
* formation energy from the elements: 10.60 eV/f.u.

=====

Compound: Nd15AlIn4
Source: Alexandria
Functional: PBE
Structure: optimized geometry

Geometry as extended XYZ:
```
20
Lattice="4.9625 0.0000 0.0000 0.0000 4.9625 0.0000 0.0000 0.0000 24.9665" Properties=species:S:1:pos:R:3 pbc="T T T"
Nd 0.0000 2.4813 17.5056
Nd 2.4813 2.4813 4.9334
Nd 2.4813 0.0000 22.5536
Nd 2.4813 2.4813 0.0000
Nd 2.4813 2.4813 14.9896
Nd 0.0000 2.4813 2.4129
Nd 2.4813 0.0000 7.4610
Nd 2.4813 0.0000 17.5056
Nd 0.0000 2.4813 12.4833
Nd 2.4813 2.4813 9.9770
Nd 2.4813 0.0000 12.4833
Nd 0.0000 2.4813 22.5536
Nd 2.4813 2.4813 20.0332
Nd 2.4813 0.0000 2.4129
Nd 0.0000 2.4813 7.4610
In 0.0000 0.0000 4.9544
In 0.0000 0.0000 9.9718
In 0.0000 0.0000 14.9947
In 0.0000 0.0000 20.0121
Al 0.0000 0.0000 0.0000
```

Properties
* Fermi-level density of states: 33.3 states/eV/cell
* formation energy from the elements: -5.05 eV/f.u.

=====

Compound: ReBP3
Source: Alexandria
Functional: PBE
Structure: optimized geometry

Geometry as extended XYZ:
```
5
Lattice="4.0048 0.0000 0.0000 0.0000 4.0048 0.0000 0.0000 0.0000 4.0048" Properties=species:S:1:pos:R:3 pbc="T T T"
P 2.0024 0.0000 0.0000
P 0.0000 2.0024 0.0000
P 0.0000 0.0000 2.0024
Re 2.0024 2.0024 2.0024
B 0.0000 0.0000 0.0000
```

Properties
* Fermi-level density of states: 4.6 states/eV/cell
* excess energy over the best structure of this formula in the dataset: 0 meV/atom
* formation energy from the elements: 5.26 eV/f.u.

=====

Compound: Mg3ZnSn
Source: Alexandria
Functional: PBE
Structure: optimized geometry

Geometry as extended XYZ:
```
5
Lattice="4.9979 0.0000 0.0000 0.0000 4.9979 0.0000 0.0000 0.0000 4.9979" Properties=species:S:1:pos:R:3 pbc="T T T"
Zn 0.0000 0.0000 0.0000
Mg 0.0000 2.4990 0.0000
Mg 2.4990 0.0000 0.0000
Mg 0.0000 0.0000 2.4990
Sn 2.4990 2.4990 2.4990
```

Properties
* Fermi-level density of states: 2.2 states/eV/cell
* excess energy over the best structure of this formula in the dataset: 219 meV/atom
* formation energy from the elements: 0.83 eV/f.u.

=====

Compound: Te2MoPtN
Source: Alexandria
Functional: PBE
Structure: optimized geometry

Geometry as extended XYZ:
```
5
Lattice="-3.7977 3.4346 1.5035 0.6771 -0.8265 3.5982 3.6236 3.9118 0.2167" Properties=species:S:1:pos:R:3 pbc="T T T"
Te 1.8118 1.9559 0.1084
Te -1.8988 1.7173 0.7518
Pt 0.2515 3.2599 2.6592
N 0.3385 -0.4133 1.7991
Mo 0.0000 0.0000 0.0000
```

Properties
* Fermi-level density of states: 5.2 states/eV/cell
* formation energy (no corrections): 0.5040 eV per atom
* excess energy over the best structure of this formula in the dataset: 0 meV/atom

=====

Compound: K2LiY
Source: Alexandria
Functional: PBE
Structure: optimized geometry

Geometry as extended XYZ:
```
4
Lattice="-1.0696 2.1356 -2.9355 -4.2295 -4.5134 -1.7424 -4.8315 3.0042 3.9460" Properties=species:S:1:pos:R:3 pbc="T T T"
K 0.0000 0.0000 0.0000
K -2.6496 -1.1889 -2.3390
Y -4.5305 -0.7546 1.1018
Li -2.9505 2.5699 0.5053
```

Properties
* Fermi-level density of states: 4.0 states/eV/cell
* formation energy from the elements: 1.87 eV/f.u.

=====

Compound: Re2RuPt
Source: Alexandria
Functional: PBE
Structure: optimized geometry

Geometry as extended XYZ:
```
4
Lattice="-1.9924 0.6935 -4.3106 -2.4613 -3.2656 2.5119 -1.5688 1.9859 1.0446" Properties=species:S:1:pos:R:3 pbc="T T T"
Pt -2.0150 -0.6398 1.7783
Re -2.2269 -1.2860 -0.8993
Re 0.0000 0.0000 0.0000
Ru -1.7806 1.3397 -1.6330
```

Properties
* Fermi-level density of states: 4.6 states/eV/cell
* excess energy over the best structure of this formula in the dataset: 129 meV/atom
* formation energy from the elements: 0.01 eV/f.u.

=====

Compound: Al3CdPb2Au12
Source: Alexandria
Functional: PBE
Structure: optimized geometry

Geometry as extended XYZ:
```
18
Lattice="-4.4043 -1.3282 6.4025 1.4955 -7.0322 3.2352 4.1708 0.6147 6.6619" Properties=species:S:1:pos:R:3 pbc="T T T"
Au 2.1253 -0.8769 5.5380
Au -1.8549 -1.7788 5.4176
Au 0.0091 -1.1957 8.6582
Au 3.1429 -4.2255 6.9758
Au 0.8835 -4.4263 3.9475
Au -0.8632 -6.8687 10.7616
Au 3.1169 -5.9669 10.8820
Au 0.3785 -3.3194 12.3521
Au 2.6740 -2.4881 9.4615
Au -1.4120 -5.2576 6.8380
Au -1.8808 -3.5201 9.3238
Au 1.2530 -6.5499 7.6414
Al 2.0854 0.3074 3.3309
Al -2.2021 -0.6641 3.2013
Al 0.7478 -3.5161 1.6176
Cd 0.0000 0.0000 0.0000
Pb 0.7582 -4.6531 9.7918
Pb 0.5039 -3.0925 6.5077
```

Properties
* Fermi-level density of states: 6.4 states/eV/cell
* formation energy from the elements: -0.41 eV/f.u.

=====

Compound: Pr4Sn
Source: Alexandria
Functional: PBE
Structure: optimized geometry

Geometry as extended XYZ:
```
5
Lattice="-5.9638 -0.5075 0.4516 -0.2512 -2.0600 -5.6322 0.6312 -5.6149 2.0255" Properties=species:S:1:pos:R:3 pbc="T T T"
Pr -2.6663 -3.0612 1.2385
Pr 0.0000 0.0000 0.0000
Pr -3.1075 -1.2837 -2.5903
Pr 0.1900 -3.8375 -1.8034
Sn -2.7919 -4.0912 -1.5776
```

Properties
* Fermi-level density of states: 11.5 states/eV/cell
* excess energy over the best structure of this formula in the dataset: 456 meV/atom
* formation energy from the elements: 1.01 eV/f.u.

=====

Compound: TiGaCu
Source: Alexandria
Functional: PBE
Structure: optimized geometry

Geometry as extended XYZ:
```
12
Lattice="-5.3013 -4.3736 2.8830 0.5533 -3.4408 -4.2024 2.9881 -2.1839 2.1816" Properties=species:S:1:pos:R:3 pbc="T T T"
Ti -2.7845 -5.5964 2.4424
Ti 1.3598 -4.5012 2.0914
Ti -3.1197 -5.4971 -1.2293
Ti 1.0245 -4.4019 -1.5803
Ga -0.8800 -4.9992 0.4310
Ga 0.0000 0.0000 0.0000
Ga 0.2767 -1.7204 -2.1012
Ga -1.1566 -3.2787 2.5323
Cu 1.6328 -6.2249 -0.0077
Cu -3.3927 -3.7734 0.8697
Cu 0.7518 -2.6785 0.5189
Cu -2.5117 -7.3198 0.3432
```

Properties
* Fermi-level density of states: 5.6 states/eV/cell
* formation energy from the elements: -0.76 eV/f.u.

=====

Compound: SrTe2Se
Source: Alexandria
Functional: PBE
Structure: optimized geometry

Geometry as extended XYZ:
```
4
Lattice="6.5650 -0.0011 0.0000 3.4341 5.5952 0.0000 -4.9996 -2.7971 3.2063" Properties=species:S:1:pos:R:3 pbc="T T T"
Sr 3.2825 -0.0005 1.6031
Se 4.9996 2.7971 0.0000
Te 1.7171 2.7976 1.6031
Te 0.0000 0.0000 0.0000
```

Properties
* Fermi-level density of states: 2.7 states/eV/cell
* formation energy (no corrections): -0.6154 eV per atom

=====

Compound: Ac3Ni4Ir2
Source: Alexandria
Functional: PBE
Structure: optimized geometry

Geometry as extended XYZ:
```
9
Lattice="-2.0546 -3.5060 1.0896 5.7737 -0.3557 1.6201 -2.9982 3.8801 6.8316" Properties=species:S:1:pos:R:3 pbc="T T T"
Ir 1.5250 1.1645 6.6226
Ir -0.8041 -1.1461 2.9186
Ac -1.4361 0.1251 5.8174
Ac 2.1569 -0.1067 3.7239
Ac 0.0000 0.0000 0.0000
Ni 1.3793 -1.2679 6.6438
Ni -0.6584 1.2863 2.8975
Ni 0.9409 -2.4904 1.8834
Ni -0.2200 2.5088 7.6579
```

Properties
* Fermi-level density of states: 4.0 states/eV/cell
* formation energy from the elements: -3.77 eV/f.u.

=====

Compound: SiTe2AsN
Source: Alexandria
Functional: PBE
Structure: optimized geometry

Geometry as extended XYZ:
```
5
Lattice="5.6555 0.0000 0.0000 0.0000 5.6555 0.0000 0.0000 0.0000 3.2835" Properties=species:S:1:pos:R:3 pbc="T T T"
As 2.8277 2.8277 1.6418
Si 0.0000 0.0000 0.0000
Te 0.0000 2.8277 0.0000
Te 2.8277 0.0000 0.0000
N 0.0000 0.0000 1.6418
```

Properties
* Fermi-level density of states: 3.4 states/eV/cell
* formation energy (no corrections): 0.3835 eV per atom
* excess energy over the best structure of this formula in the dataset: 0 meV/atom

=====

Compound: TlCd2In10
Source: Alexandria
Functional: PBE
Structure: optimized geometry

Geometry as extended XYZ:
```
13
Lattice="-0.0756 4.1722 4.5922 -6.5277 -0.9974 4.9908 4.0375 -2.6624 6.6774" Properties=species:S:1:pos:R:3 pbc="T T T"
In 1.7621 -0.2495 8.6398
In -1.9850 0.0742 12.4761
In 0.2292 2.0749 10.6948
In -4.3279 0.7620 7.6206
In -0.5807 0.4383 3.7843
In -1.6089 -0.9025 9.1776
In -2.7950 -1.5625 5.5657
In 2.0188 -1.3312 3.3387
In 1.9810 0.7549 5.6348
In -0.9569 1.4149 7.0829
Cd -3.3016 1.5874 4.7915
Cd -3.2639 -0.4987 2.4954
Tl 0.0000 0.0000 0.0000
```

Properties
* Fermi-level density of states: 5.6 states/eV/cell
* formation energy from the elements: 0.70 eV/f.u.

=====

Compound: CaLa3Dy8
Source: Alexandria
Functional: PBE
Structure: optimized geometry

Geometry as extended XYZ:
```
12
Lattice="7.7077 -0.5371 -3.6896 -4.5172 7.1805 -1.1594 -0.3379 0.5371 8.5386" Properties=species:S:1:pos:R:3 pbc="T T T"
Ca -4.5172 7.1805 -1.1594
Dy -2.9811 4.7388 6.6526
Dy 0.0744 2.9789 2.0085
Dy -1.2643 2.0098 5.6427
Dy -4.0861 6.4952 4.0886
Dy -0.1735 5.7079 3.9848
Dy 4.9902 0.6854 -1.6810
Dy 2.6375 2.0903 0.2952
Dy -3.2023 5.0903 1.1459
La -2.4276 3.8588 3.6896
La 0.3814 5.2511 -0.5797
La 2.4711 1.9294 4.2693
```

Properties
* Fermi-level density of states: 18.9 states/eV/cell
* formation energy from the elements: 7.57 eV/f.u.

=====

Compound: MnBAu
Source: Alexandria
Functional: PBE
Structure: optimized geometry

Geometry as extended XYZ:
```
9
Lattice="-0.1095 -2.8645 -0.4078 1.7417 1.6303 -1.6407 11.1806 -1.8547 10.0262" Properties=species:S:1:pos:R:3 pbc="T T T"
B 3.1344 -0.2013 0.5725
B 5.7367 -0.9516 5.1443
B 9.9711 -2.9361 7.6676
Mn 7.6767 -0.9548 4.6458
Mn 3.3327 -1.8349 1.7147
Mn 10.2789 -1.7051 9.2176
Au 8.2103 -1.3620 7.3625
Au 5.6080 -0.6117 2.7907
Au 1.2641 -1.4917 -0.1403
```

Properties
* Fermi-level density of states: 4.4 states/eV/cell
* formation energy from the elements: 1.15 eV/f.u.

=====

Compound: Th2SbPd8
Source: Alexandria
Functional: PBE
Structure: optimized geometry

Geometry as extended XYZ:
```
11
Lattice="-1.0807 -4.5446 1.6247 2.0493 -2.3582 -5.2332 6.0533 2.8984 4.6061" Properties=species:S:1:pos:R:3 pbc="T T T"
Pd 6.5371 -3.4467 2.2351
Pd 0.4849 -0.5577 -1.2375
Pd 1.8345 -3.0404 0.2435
Pd 2.8200 -4.1735 -2.2706
Pd 5.1874 -0.9640 0.7541
Pd 4.5944 -3.7990 -0.0426
Pd 4.2020 0.1692 3.2682
Pd 2.4276 -0.2054 1.0402
Sb -0.5403 -2.2723 0.8123
Th 3.6292 -2.6248 2.5997
Th 3.3927 -1.3795 -1.6021
```

Properties
* Fermi-level density of states: 3.5 states/eV/cell
* formation energy (no corrections): -0.6790 eV per atom